Entry 1:
! ScIr4 | Alexandria via LeMat-Bulk | PBE | relaxed; values from VASP
! ΔE to the lowest computed polymorph (eV/atom): 0.308
! Energy of formation (meV per atom): -105
! Magnetic moment (μB/f.u.): 0.0
! Calculated volume (Å³ per cell): 348
! Calculated total energy (eV/atom): -8.46
! Space-group type: I-43m (217)
&SYSTEM
  ibrav = 0, nat = 20, ntyp = 2
/
ATOMIC_SPECIES
Sc 44.96 Sc.upf
Ir 192.22 Ir.upf
ATOMIC_POSITIONS crystal
Sc 0.5505 0.0000 0.0000
Sc 0.0000 0.5505 0.0000
Sc 0.4495 0.4495 0.4495
Sc 0.0000 0.0000 0.5505
Ir 0.2085 0.0000 0.0000
Ir 0.0000 0.2085 0.0000
Ir 0.7915 0.7915 0.7915
Ir 0.0000 0.0000 0.2085
Ir 0.3515 0.0000 0.3515
Ir 0.6485 0.0000 0.6485
Ir 0.0000 0.6485 0.6485
Ir 0.0000 0.3515 0.3515
Ir 0.3515 0.3515 0.0000
Ir 0.6485 0.6485 0.0000
Ir 0.2500 0.5000 0.7500
Ir 0.7500 0.5000 0.2500
Ir 0.5000 0.2500 0.7500
Ir 0.5000 0.7500 0.2500
Ir 0.7500 0.2500 0.5000
Ir 0.2500 0.7500 0.5000
CELL_PARAMETERS angstrom
7.6763 0.0000 0.0000
-2.5588 7.2373 0.0000
-2.5588 -3.6187 6.2677

Entry 2:
! Sc3Ir | Alexandria via LeMat-Bulk | PBE | relaxed; values from VASP
! Energy of formation (meV per atom): -574
! Magnetic moment (μB/f.u.): 0.0
! Calculated volume (Å³ per cell): 82
! Calculated total energy (eV/atom): -7.54
! Space-group type: Immm (71)
&SYSTEM
  ibrav = 0, nat = 4, ntyp = 2
/
ATOMIC_SPECIES
Sc 44.96 Sc.upf
Ir 192.22 Ir.upf
ATOMIC_POSITIONS crystal
Sc 0.1238 0.4146 0.2927
Sc 0.4166 0.0000 0.5000
Sc 0.7092 0.5854 0.7073
Ir 0.9170 0.0000 0.0000
CELL_PARAMETERS angstrom
-3.0916 -2.0351 3.0520
5.3118 0.7745 2.1268
-0.0599 2.8744 1.8560

Entry 3:
! Sc3Ir | Alexandria via LeMat-Bulk | PBE | relaxed; values from VASP
! Energy of formation (meV per atom): -24
! Magnetic moment (μB/f.u.): 0.0
! Calculated volume (Å³ per cell): 133
! Calculated total energy (eV/atom): -6.99
! Space-group type: Pm-3m (221)
&SYSTEM
  ibrav = 0, nat = 4, ntyp = 2
/
ATOMIC_SPECIES
Ir 192.22 Ir.upf
Sc 44.96 Sc.upf
ATOMIC_POSITIONS crystal
Ir 0.0000 0.0000 0.0000
Sc 0.5000 0.0000 0.0000
Sc 0.0000 0.5000 0.0000
Sc 0.0000 0.0000 0.5000
CELL_PARAMETERS angstrom
5.1026 0.0000 0.0000
0.0000 5.1026 0.0000
0.0000 0.0000 5.1026